VASP calculation (PBE) on crystalline SrLi6MgHg at its relaxed geometry.

## Properties
N(E_F)	16.49	states/eV per cell
DFT total energy	-15.04	eV/f.u.
formation enthalpy at 0 K	0.00	eV/atom

a b c (Å): 7.1777 10.2325 12.5025
angles (deg): 90.00 90.00 90.00
Space group Imma (No. 74)
Unique sites:
Sr: 0.0000 0.2500 0.1849
Li: 0.0000 0.2500 0.4981
Li: 0.0000 0.2500 0.9256
Li: 0.1921 0.0140 0.6226
Mg: 0.2500 0.2500 0.7500
Hg: 0.0000 0.0000 0.0000

=====

VASP calculation (PBE) on crystalline ScCuMo2 at its relaxed geometry.

## Properties
N(E_F)	3.28	states/eV per cell
DFT total energy	-31.49	eV/f.u.
formation enthalpy at 0 K	0.15	eV/atom

a b c (Å): 2.7846 4.2662 5.6665
angles (deg): 90.00 102.46 90.00
Space group Pm (No. 6)
Unique sites:
Sc: 0.0000 0.0000 0.0000
Cu: 0.5817 0.5000 0.2447
Mo: 0.1514 0.0000 0.5112
Mo: 0.5118 0.5000 0.7223

=====

VASP calculation (PBE) on crystalline UTiW at its relaxed geometry.

## Properties
N(E_F)	9.99	states/eV per cell
DFT total energy	-29.75	eV/f.u.
formation enthalpy at 0 K	0.79	eV/atom

a b c (Å): 2.6834 2.6834 15.7342
angles (deg): 90.00 90.00 90.00
Space group I4mm (No. 107)
Unique sites:
U: 0.0000 0.0000 0.0000
Ti: 0.0000 0.0000 0.3461
W: 0.0000 0.0000 0.1767

=====

VASP calculation (PBE) on crystalline CaPtRh at its relaxed geometry.

## Properties
N(E_F)	55.51	states/eV per cell
DFT total energy	-16.12	eV/f.u.
formation enthalpy at 0 K	-0.24	eV/atom

a b c (Å): 4.9674 13.2913 14.8482
angles (deg): 90.00 90.00 90.00
Space group Fmmm (No. 69)
Unique sites:
Ca: 0.0000 0.1247 0.1128
Pt: 0.0000 0.1760 0.3111
Rh: 0.0000 0.0000 0.4162
Rh: 0.0000 0.1741 0.5000

=====

VASP calculation (PBE) on crystalline Ba2TaIn at its relaxed geometry.

## Properties
N(E_F)	9.93	states/eV per cell
DFT total energy	-16.29	eV/f.u.
formation enthalpy at 0 K	0.54	eV/atom

a b c (Å): 13.1199 3.4664 6.2770
angles (deg): 90.00 108.39 90.00
Space group Cm (No. 8)
Unique sites:
Ba: 0.0000 0.0000 0.0000
Ba: 0.1900 0.0000 0.6201
Ta: 0.4245 0.0000 0.4522
In: 0.2604 0.5000 0.1661

=====

VASP calculation (PBE) on crystalline TePt2SeI at its relaxed geometry.

## Properties
N(E_F)	5.48	states/eV per cell
DFT total energy	-14.84	eV/f.u.
formation energy (no corrections)	1.083	eV/atom

a b c (Å): 4.9822 4.9822 5.5231
angles (deg): 90.00 90.00 90.00
Space group P4/mmm (No. 123)
Unique sites:
Te: 0.0000 0.0000 0.0000
Pt: 0.0000 0.5000 0.5000
Se: 0.5000 0.5000 0.0000
I: 0.5000 0.5000 0.5000

=====

Which value of DFT total energy does entry 1 give? -15.04 eV/f.u.

=====

Copy entry 6 word for word.
VASP calculation (PBE) on crystalline TePt2SeI at its relaxed geometry.

## Properties
N(E_F)	5.48	states/eV per cell
DFT total energy	-14.84	eV/f.u.
formation energy (no corrections)	1.083	eV/atom

a b c (Å): 4.9822 4.9822 5.5231
angles (deg): 90.00 90.00 90.00
Space group P4/mmm (No. 123)
Unique sites:
Te: 0.0000 0.0000 0.0000
Pt: 0.0000 0.5000 0.5000
Se: 0.5000 0.5000 0.0000
I: 0.5000 0.5000 0.5000

=====

Number 4 is which compound? CaPtRh

=====

Which formula does entry 3 have? UTiW